Entry 1:
Entry from Alexandria: LiTl3Pd5 after structural relaxation (GGA-PBE).

The calculation puts the size of the total moment at 0.0 Bohr magnetons per cell. The calculation puts the formation energy at -0.22 eV per atom.

The structure belongs to space group P6_3/mcm (No. 193); the cell edges are 8.1091, 8.1091 and 5.6808 Å and the angles 90.00°, 90.00° and 120.00°. The asymmetric unit holds Li at (0.0000, 0.0000, 0.0000), Tl at (0.0000, 0.3631, 0.2500), Pd at (0.0000, 0.2970, 0.7500) and Pd at (0.3333, 0.6667, 0.0000).

***

Entry 2:
Entry from Alexandria: Li2TlPd5 after structural relaxation (GGA-PBE).

The calculation puts the size of the total moment at 0.0 Bohr magnetons per cell. The calculation puts the formation energy at -0.33 eV per atom.

The structure belongs to space group Fmmm (No. 69); the cell edges are 7.604, 8.090 and 8.128 Å and the angles 90.00°, 90.00° and 90.00°. The asymmetric unit holds Li at (0.000, 0.250, 0.250), Tl at (0.000, 0.000, 0.000), Pd at (0.000, 0.000, 0.500), Pd at (0.250, 0.000, 0.250) and Pd at (0.250, 0.250, 0.000).

***

Entry 3:
Entry from Alexandria: Li2Tl3Pd6 after structural relaxation (GGA-PBE).

The calculation puts the size of the total moment at 0.0 Bohr magnetons per cell. The calculation puts the formation energy at -0.16 eV per atom.

The structure belongs to space group I4/mmm (No. 139); the cell edges are 4.132, 4.132 and 22.802 Å and the angles 90.00°, 90.00° and 90.00°. The asymmetric unit holds Li at (0.000, 0.000, 0.048), Tl at (0.000, 0.000, 0.309), Tl at (0.000, 0.000, 0.500), Pd at (0.000, 0.000, 0.188) and Pd at (0.000, 0.500, 0.101).

***

Entry 4:
Entry from Alexandria: Li2TlPd after structural relaxation (GGA-PBE).

The calculation puts the size of the total moment at 0.0 Bohr magnetons per cell. The calculation puts the formation energy at -0.35 eV per atom.

The structure belongs to space group Fm-3m (No. 225); the cell edges are 6.353, 6.353 and 6.353 Å and the angles 90.00°, 90.00° and 90.00°. The asymmetric unit holds Li at (0.250, 0.250, 0.250), Tl at (0.000, 0.000, 0.000) and Pd at (0.000, 0.000, 0.500).

***

Entry 5:
Entry from Alexandria: Li5Tl2Pd5 after structural relaxation (GGA-PBE).

The calculation puts the size of the total moment at 0.0 Bohr magnetons per cell. The calculation puts the formation energy at -0.36 eV per atom.

The structure belongs to space group C2/m (No. 12); the cell edges are 13.165, 4.376 and 7.849 Å and the angles 90.00°, 123.59° and 90.00°. The asymmetric unit holds Li at (0.000, 0.000, 0.000), Li at (0.086, 0.000, 0.398), Li at (0.247, 0.000, 0.267), Tl at (0.161, 0.000, 0.801), Pd at (0.000, 0.500, 0.500), Pd at (0.078, 0.500, 0.920) and Pd at (0.172, 0.500, 0.339).

***

Entry 6:
Entry from Alexandria: LiTl2Pd after structural relaxation (GGA-PBE).

The calculation puts the size of the total moment at 0.0 Bohr magnetons per cell. The calculation puts the formation energy at -0.17 eV per atom.

The structure belongs to space group P4/mmm (No. 123); the cell edges are 4.654, 4.654 and 3.725 Å and the angles 90.00°, 90.00° and 90.00°. The asymmetric unit holds Li at (0.000, 0.000, 0.000), Tl at (0.000, 0.500, 0.500) and Pd at (0.500, 0.500, 0.000).

***

Entry 7:
Entry from Alexandria: Li2Tl3Pd3 after structural relaxation (GGA-PBE).

The calculation puts the size of the total moment at 0.0 Bohr magnetons per cell. The calculation puts the formation energy at -0.26 eV per atom.

The structure belongs to space group P6_3/mcm (No. 193); the cell edges are 8.0776, 8.0776 and 5.3648 Å and the angles 90.00°, 90.00° and 120.00°. The asymmetric unit holds Li at (0.3333, 0.6667, 0.0000), Tl at (0.0000, 0.2572, 0.2500) and Pd at (0.0000, 0.3996, 0.7500).

***

Entry 8:
Entry from Alexandria: Li6TlPd2 after structural relaxation (GGA-PBE).

The calculation puts the size of the total moment at 0.0 Bohr magnetons per cell. The calculation puts the formation energy at -0.27 eV per atom.

The structure belongs to space group C2/m (No. 12); the cell edges are 13.277, 7.589 and 2.823 Å and the angles 90.00°, 91.67° and 90.00°. The asymmetric unit holds Li at (0.000, 0.156, 0.000), Li at (0.173, 0.327, 0.052), Tl at (0.000, 0.500, 0.500) and Pd at (0.165, 0.000, 0.503).

***

Computed values of V (unit: Å³ per cell) for the preceding records, in sequence: 324 500 389 256 377 81 303 284.